1.
DFT (PBE) results for a geometry-optimized KTi2RuO8 structure.

Cell: 5.160 5.160 7.169 Å, 77.68 77.69 72.37°
Positions (direct):
K: 0.000 0.000 0.000
Ti: 0.461 0.461 0.207
Ti: 0.539 0.539 0.793
Ru: 0.000 0.000 0.500
O: 0.218 0.756 0.314
O: 0.223 0.220 0.409
O: 0.243 0.780 0.687
O: 0.351 0.348 0.013
O: 0.649 0.652 0.987
O: 0.757 0.220 0.313
O: 0.777 0.780 0.591
O: 0.782 0.244 0.686

Computed properties:
Formation energy from raw total energies, eV/f.u.: -22.571
Space-group type: P-1, No. 2
Total magnetization, μB per cell: 1.02
DOS at the Fermi energy, states/eV/atom: 0.06



2.
DFT (PBE) results for a geometry-optimized K2TlRuO4 structure.

Cell: 6.161 6.161 6.161 Å, 118.95 118.95 91.83°
Positions (direct):
K: 0.000 0.000 0.000
K: 0.750 0.250 0.500
Tl: 0.250 0.750 0.500
Ru: 0.500 0.500 0.000
O: 0.219 0.220 0.622
O: 0.403 0.781 0.001
O: 0.598 0.597 0.378
O: 0.780 0.402 0.999

Computed properties:
Formation energy from raw total energies, eV/f.u.: -8.549
Space-group type: I-4, No. 82
Total magnetization, μB per cell: 0.98
DOS at the Fermi energy, states/eV/atom: 0.06